The following is a DFT calculation (PBE) of a relaxed CaFe2Re crystal.

Unit cell a=2.7965 b=2.7965 c=27.3013 alpha=90.00 beta=90.00 gamma=120.00
With the nearest neighbours (Å) after each atom.
Space group R3m (No. 160, hexagonal axes)
Unique sites:
Ca  0.0000  0.0000  0.0000 (multiplicity 3)  6 Ca 2.80, 3 Fe 2.98, 3 Re 3.12
Fe  0.0000  0.0000  0.4966 (multiplicity 3)  9 Fe 2.53-2.80, 3 Re 2.55
Fe  0.0000  0.0000  0.7584 (multiplicity 3)  9 Fe 2.53-2.80
Re  0.0000  0.0000  0.2355 (multiplicity 3)  3 Fe 2.55, 6 Re 2.80

Values from the calculation:
energy of formation: 716 meV/atom
magnetization: 0.19 μB/atom
total DFT energy (no corrections): -85.54 eV/cell